(1)
NdFeCuH6, optimized geometry, DFT GGA-PBE; symmetry = P-6m2 (187); uncorrected energy = -4.42 eV per atom
1.0
-4.482 -0.071 -0.109
-2.172 -3.904 -0.383
-0.098 -0.364 4.262
Nd Fe Cu H
1 1 1 6
Cartesian
-4.580 -0.434 4.153
-2.267 -1.507 1.967
-4.485 -2.831 1.803
-1.198 -1.993 0.871
-2.312 -0.409 3.138
-3.314 -2.208 2.962
-1.248 -2.177 3.012
-3.264 -2.027 0.821
-2.264 -0.227 0.997


(2)
HgP2BrCl, optimized geometry, DFT GGA-PBE; symmetry = P4/mmm (123); energy relative to the elements, uncorrected = 5.34 eV per formula unit
1.0
4.907 0.000 0.000
0.000 4.907 0.000
0.000 0.000 6.668
P Hg Br Cl
2 1 1 1
Cartesian
0.000 2.454 0.000
2.454 0.000 0.000
2.454 2.454 3.334
0.000 0.000 0.000
0.000 0.000 3.334


(3)
CoCuAg3, optimized geometry, DFT GGA-PBE; symmetry = Pm-3m (221); uncorrected energy = -2.88 eV per atom
1.0
-0.103 -2.125 -4.237
3.128 -3.215 1.537
-3.562 -2.762 1.472
Co Cu Ag
1 1 3
Cartesian
-0.269 -4.051 -0.614
0.000 0.000 0.000
1.564 -1.607 0.768
-1.781 -1.381 0.736
-0.051 -1.063 -2.118


(4)
AsPbAu2, optimized geometry, DFT GGA-PBE; symmetry = Immm (71); uncorrected energy = -3.59 eV per atom
1.0
-1.660 4.906 0.634
-3.362 0.639 -3.940
0.085 -3.866 3.504
Pb As Au
1 1 2
Cartesian
-2.043 1.907 1.243
-2.894 -0.227 -1.044
-5.011 5.534 -3.299
-2.522 2.784 -1.660


(5)
AlHg2P, optimized geometry, DFT GGA-PBE; symmetry = Cmmm (65); uncorrected energy = -2.20 eV per atom
1.0
-0.810 3.776 -0.551
-1.694 -1.010 -4.435
-4.746 -0.979 0.269
P Hg Al
1 2 1
Cartesian
-2.015 1.391 -1.317
-0.061 -0.019 -0.039
-3.159 -0.976 -2.044
-5.235 0.396 -3.400


(6)
CdInHg3Pb, optimized geometry, DFT GGA-PBE; symmetry = P2_1/m (11); uncorrected energy = -1.35 eV per atom
1.0
3.810 0.000 0.000
0.000 8.614 0.062
0.000 -3.264 9.723
Cd In Hg Pb
2 2 6 2
Cartesian
0.952 5.155 1.304
2.857 0.195 8.481
0.952 -1.028 6.081
2.857 6.378 3.704
0.952 3.797 4.218
2.857 7.548 0.673
2.857 2.790 1.686
2.857 1.553 5.567
0.952 2.560 8.098
0.952 -2.198 9.112
2.857 4.797 6.778
0.952 0.554 3.007


(7)
Tc3PtO, optimized geometry, DFT GGA-PBE; symmetry = Pm-3m (221); energy relative to the elements, uncorrected = -0.31 eV per formula unit
1.0
-0.587 1.227 -3.825
-2.349 -3.240 -0.679
-3.258 2.116 1.178
O Tc Pt
1 3 1
Cartesian
0.000 0.000 0.000
-1.175 -1.620 -0.340
-1.629 1.058 0.589
-0.293 0.614 -1.912
-3.097 0.051 -1.663


(8)
LuTiZnPt, optimized geometry, DFT GGA-PBE; symmetry = F-43m (216); uncorrected energy = -5.52 eV per atom
1.0
4.688 0.000 0.000
2.344 4.060 0.000
2.344 1.353 3.828
Zn Lu Pt Ti
1 1 1 1
Cartesian
4.688 2.707 1.914
7.032 4.060 2.871
0.000 0.000 0.000
2.344 1.353 0.957


(9)
Li2SmTeSe4, optimized geometry, DFT GGA-PBE; symmetry = C2/c (15); energy relative to the elements, uncorrected = -7.95 eV per formula unit
1.0
-4.068 4.490 5.333
2.689 -4.580 6.078
5.493 3.697 -4.810
Li Sm Te Se
4 2 2 8
Cartesian
-2.034 2.245 2.667
0.712 4.094 0.261
2.747 1.849 -2.405
-0.690 -0.045 5.706
1.345 -2.290 3.039
0.023 4.049 5.967
2.057 1.803 3.301
1.425 8.187 0.523
6.433 1.323 1.119
0.446 4.107 3.079
3.667 -0.500 3.522
-2.319 2.284 5.482
-0.785 0.033 8.708
1.556 1.555 6.014
2.558 2.052 0.587
4.899 3.574 -2.107


(10)
YErTiAl, optimized geometry, DFT GGA-PBE; symmetry = F-43m (216); uncorrected energy = -5.73 eV per atom
1.0
5.129 0.000 0.000
2.565 4.442 0.000
2.565 1.481 4.188
Y Ti Al Er
1 1 1 1
Cartesian
5.129 2.961 2.094
2.565 1.481 1.047
7.694 4.442 3.141
0.000 0.000 0.000


(11)
Tl2AgSb, optimized geometry, DFT GGA-PBE; symmetry = P4/mmm (123); energy relative to the elements, uncorrected = 0.67 eV per formula unit
1.0
3.760 0.000 0.000
0.000 3.760 0.000
0.000 0.000 7.543
Sb Tl Ag
1 2 1
Cartesian
1.880 1.880 5.657
0.000 0.000 0.146
0.000 0.000 3.625
1.880 1.880 1.886


(12)
Ho6GeSb2, optimized geometry, DFT GGA-PBE; symmetry = P2_1/c (14); energy relative to the elements, uncorrected = -5.94 eV per formula unit
1.0
6.262 0.000 0.228
0.000 8.126 0.000
-0.457 0.000 9.975
Ho Ge Sb
12 2 4
Cartesian
5.361 7.861 2.514
5.190 5.469 5.659
5.023 5.580 9.683
3.684 1.517 5.621
3.517 1.406 9.645
3.803 3.798 2.816
0.443 0.265 7.689
0.615 2.657 4.544
0.782 2.546 0.520
2.121 6.609 4.581
2.287 6.720 0.558
2.002 4.328 7.387
3.131 4.063 0.114
-0.228 0.000 4.987
5.357 3.130 7.712
3.350 7.193 7.591
2.455 0.933 2.611
0.448 4.996 2.490


(13)
Hf3VCd, optimized geometry, DFT GGA-PBE; symmetry = Pm-3m (221); uncorrected energy = -6.42 eV per atom
1.0
5.145 0.000 0.000
0.000 5.145 0.000
0.000 0.000 5.145
Cd Hf V
1 3 1
Cartesian
0.000 0.000 0.000
0.000 2.573 0.000
0.000 0.000 2.573
2.573 0.000 0.000
2.573 2.573 2.573


(14)
BaScMn, optimized geometry, DFT GGA-PBE; symmetry = P-6m2 (187); uncorrected energy = -5.16 eV per atom
1.0
5.299 0.000 0.000
-2.650 4.589 0.000
0.000 0.000 3.624
Ba Mn Sc
1 1 1
Cartesian
0.000 0.000 3.624
2.650 1.530 1.813
0.000 3.060 1.811


(15)
TlPdRh2, optimized geometry, DFT GGA-PBE; symmetry = P4/mmm (123); uncorrected energy = -5.47 eV per atom
1.0
-3.724 -0.919 0.334
0.268 -2.318 -3.393
1.011 -3.258 2.306
Tl Rh Pd
1 2 1
Cartesian
-1.862 -0.460 0.167
0.506 -1.629 1.153
0.134 -1.159 -1.696
-1.223 -3.248 -0.376


(16)
HoErTe2, optimized geometry, DFT GGA-PBE; symmetry = R-3m (166); energy relative to the elements, uncorrected = -4.91 eV per formula unit
1.0
-1.223 2.689 3.172
-4.199 0.416 0.989
-1.228 -4.201 6.050
Te Ho Er
2 1 1
Cartesian
-1.662 -0.283 2.560
-4.988 -0.813 7.650
0.000 0.000 0.000
-3.325 -0.548 5.105


(17)
K2MgGe, optimized geometry, DFT GGA-PBE; symmetry = Fm-3m (225); uncorrected energy = -1.79 eV per atom
1.0
3.054 -1.270 4.775
3.993 3.730 1.972
-0.949 2.937 4.921
Mg Ge K
1 1 2
Cartesian
0.000 0.000 0.000
3.049 2.699 5.834
1.524 1.349 2.917
4.573 4.048 8.751


(18)
KHg2OsO, optimized geometry, DFT GGA-PBE; symmetry = P4/mmm (123); energy relative to the elements, uncorrected = 9.66 eV per formula unit
1.0
-5.837 3.455 -0.301
-2.637 -4.068 4.431
2.145 4.059 5.003
K Os Hg O
1 1 2 1
Cartesian
0.000 0.000 0.000
-1.318 -2.034 2.215
1.072 2.030 2.501
-2.919 1.728 -0.151
-3.165 1.723 4.566


(19)
ErLuThPa, optimized geometry, DFT GGA-PBE; symmetry = F-43m (216); uncorrected energy = -6.16 eV per atom
1.0
5.511 0.000 0.000
2.755 4.772 0.000
2.755 1.591 4.499
Pa Lu Th Er
1 1 1 1
Cartesian
5.511 3.182 2.250
0.000 0.000 0.000
2.755 1.591 1.125
8.266 4.772 3.375


(20)
Cs2TlGaF6, optimized geometry, DFT GGA-PBE; symmetry = Fm-3m (225); energy relative to the elements, uncorrected = -26.10 eV per formula unit
1.0
6.591 0.000 0.000
3.296 5.708 0.000
3.296 1.903 5.382
Cs Tl Ga F
2 1 1 6
Cartesian
3.296 1.903 1.345
9.887 5.708 4.036
0.000 0.000 0.000
6.591 3.805 2.691
6.591 5.389 3.811
5.220 4.597 1.571
7.963 3.014 3.811
7.963 4.597 1.571
5.220 3.014 3.811
6.591 2.222 1.571